First-principles (PBE) data for a geometry-optimized Li2Co3Ni8 structure, as listed in Alexandria.

## Properties
DOS(E_F)	17.02	states/eV per cell
space group	C2/m (12)
total moment	9.41	μB per cell
ΔE_f	191.3	meV/atom
total DFT energy (no corrections)	-5.301	eV per atom

Cell: 4.306 8.197 6.079 Å, 132.40 72.20 90.00°
Positions (direct):
Li  0.641  0.708  0.416
Li  0.359  0.292  0.584
Co  0.500  0.000  0.000
Co  0.000  0.250  0.000
Co  0.000  0.750  0.000
Ni  0.793  0.436  0.872
Ni  0.207  0.564  0.128
Ni  0.074  0.850  0.701
Ni  0.926  0.150  0.299
Ni  0.331  0.917  0.331
Ni  0.331  0.414  0.331
Ni  0.669  0.586  0.669
Ni  0.669  0.083  0.669